[1]
DFT (PBE-GGA) results for a relaxed KCd2Sn2 crystal.

Its total energy is -22.35 eV for the cell shown. As for the density of states at the Fermi level: 2.49 states/eV/f.u. The value obtained for the magnetization is 0.00 μB/f.u.

The structure belongs to space group P4/mbm (No. 127); the cell edges are 9.1323, 9.1323 and 3.4521 Å and the angles 90.00°, 90.00° and 90.00°. Symmetry generates all atoms from K at (0.0000, 0.0000, 0.0000), Cd at (0.1559, 0.3441, 0.5000) and Sn at (0.1351, 0.6351, 0.0000).

---

[2]
DFT (PBE-GGA) results for a relaxed CaTa3Ag crystal.

Its total energy is -31.52 eV for the cell shown. As for the density of states at the Fermi level: 15.28 states/eV/f.u. The value obtained for the magnetization is 0.00 μB/f.u.

The structure belongs to space group Pm-3m (No. 221); the cell edges are 5.0227, 5.0227 and 5.0227 Å and the angles 90.00°, 90.00° and 90.00°. Symmetry generates all atoms from Ca at (0.0000, 0.0000, 0.0000), Ta at (0.0000, 0.5000, 0.5000) and Ag at (0.5000, 0.5000, 0.5000).

---

[3]
DFT (PBE-GGA) results for a relaxed HfTaTi2O crystal.

Its total energy is -47.21 eV for the cell shown. As for the density of states at the Fermi level: 4.26 states/eV/f.u. The value obtained for the magnetization is 0.00 μB/f.u.

The structure belongs to space group P4/mmm (No. 123); the cell edges are 4.2090, 4.2090 and 4.3988 Å and the angles 90.00°, 90.00° and 90.00°. Symmetry generates all atoms from Hf at (0.0000, 0.0000, 0.0000), Ta at (0.5000, 0.5000, 0.0000), Ti at (0.0000, 0.5000, 0.5000) and O at (0.5000, 0.5000, 0.5000).